DFT (PBE) results for a relaxed Mg2FeIr crystal.

Cell and atoms, written as CIF:
```
data_Mg2FeIr
_symmetry_space_group_name_H-M 'P 1'
_symmetry_Int_Tables_number 1
_cell_length_a 7.1175
_cell_length_b 7.1175
_cell_length_c 5.3288
_cell_angle_alpha 90.00
_cell_angle_beta 90.00
_cell_angle_gamma 90.00
loop_
_symmetry_equiv_pos_as_xyz
'x,y,z'
loop_
_atom_site_label
_atom_site_fract_x
_atom_site_fract_y
_atom_site_fract_z
_atom_site_occupancy
Mg1 0.2489 0.2500 0.1250 1
Mg2 0.2500 0.7489 0.3750 1
Mg3 0.2500 0.7511 0.8750 1
Mg4 0.2511 0.2500 0.6250 1
Mg5 0.7489 0.7500 0.6250 1
Mg6 0.7500 0.2489 0.8750 1
Mg7 0.7500 0.2511 0.3750 1
Mg8 0.7511 0.7500 0.1250 1
Fe1 0.0000 0.0000 0.5000 1
Fe2 0.0000 0.5000 0.7500 1
Fe3 0.5000 0.0000 0.2500 1
Fe4 0.5000 0.5000 0.0000 1
Ir1 0.0000 0.0000 0.0000 1
Ir2 0.0000 0.5000 0.2500 1
Ir3 0.5000 0.0000 0.7500 1
Ir4 0.5000 0.5000 0.5000 1
```

N(E_F) = 0.555 states/eV per atom
SG = I-42d (122)
Volume = 270 Å³/cell
DFT formation energy = 0.3917 eV per atom

DFT (PBE) results for a relaxed MgFeIr2 crystal.

Cell and atoms, written as CIF:
```
data_MgFeIr2
_symmetry_space_group_name_H-M 'P 1'
_symmetry_Int_Tables_number 1
_cell_length_a 3.7852
_cell_length_b 3.7852
_cell_length_c 7.9299
_cell_angle_alpha 90.00
_cell_angle_beta 90.00
_cell_angle_gamma 90.00
loop_
_symmetry_equiv_pos_as_xyz
'x,y,z'
loop_
_atom_site_label
_atom_site_fract_x
_atom_site_fract_y
_atom_site_fract_z
_atom_site_occupancy
Mg1 0.0000 0.0000 0.0000 1
Mg2 0.5000 0.5000 0.5000 1
Fe1 0.0000 0.5000 0.7500 1
Fe2 0.5000 0.0000 0.2500 1
Ir1 0.0000 0.0000 0.5000 1
Ir2 0.0000 0.5000 0.2500 1
Ir3 0.5000 0.0000 0.7500 1
Ir4 0.5000 0.5000 0.0000 1
```

N(E_F) = 1.019 states/eV per atom
SG = I-4m2 (119)
Volume = 114 Å³/cell
DFT formation energy = -0.0600 eV per atom

DFT (PBE) results for a relaxed MgFe2Ir crystal.

Cell and atoms, written as CIF:
```
data_MgFe2Ir
_symmetry_space_group_name_H-M 'P 1'
_symmetry_Int_Tables_number 1
_cell_length_a 2.9994
_cell_length_b 2.9994
_cell_length_c 6.2758
_cell_angle_alpha 90.00
_cell_angle_beta 90.00
_cell_angle_gamma 90.00
loop_
_symmetry_equiv_pos_as_xyz
'x,y,z'
loop_
_atom_site_label
_atom_site_fract_x
_atom_site_fract_y
_atom_site_fract_z
_atom_site_occupancy
Mg1 0.0000 0.0000 0.0000 1
Fe1 0.0000 0.0000 0.4897 1
Fe2 0.5000 0.5000 0.2849 1
Ir1 0.5000 0.5000 0.7253 1
```

N(E_F) = 1.352 states/eV per atom
SG = P4mm (99)
Volume = 56 Å³/cell
DFT formation energy = -0.0021 eV per atom

DFT (PBE) results for a relaxed MgFeIr2 crystal.

Cell and atoms, written as CIF:
```
data_MgFeIr2
_symmetry_space_group_name_H-M 'P 1'
_symmetry_Int_Tables_number 1
_cell_length_a 2.9094
_cell_length_b 4.6337
_cell_length_c 8.6949
_cell_angle_alpha 90.00
_cell_angle_beta 90.00
_cell_angle_gamma 90.00
loop_
_symmetry_equiv_pos_as_xyz
'x,y,z'
loop_
_atom_site_label
_atom_site_fract_x
_atom_site_fract_y
_atom_site_fract_z
_atom_site_occupancy
Mg1 0.0000 0.0000 0.0000 1
Mg2 0.5000 0.5000 0.0000 1
Fe1 0.0000 0.0000 0.5000 1
Fe2 0.5000 0.5000 0.5000 1
Ir1 0.0000 0.5000 0.2581 1
Ir2 0.0000 0.5000 0.7419 1
Ir3 0.5000 0.0000 0.2581 1
Ir4 0.5000 0.0000 0.7419 1
```

N(E_F) = 0.732 states/eV per atom
SG = Cmmm (65)
Volume = 117 Å³/cell
DFT formation energy = -0.0253 eV per atom

DFT (PBE) results for a relaxed MgFe2Ir crystal.

Cell and atoms, written as CIF:
```
data_MgFe2Ir
_symmetry_space_group_name_H-M 'P 1'
_symmetry_Int_Tables_number 1
_cell_length_a 9.5383
_cell_length_b 2.9897
_cell_length_c 4.3370
_cell_angle_alpha 90.00
_cell_angle_beta 116.81
_cell_angle_gamma 90.00
loop_
_symmetry_equiv_pos_as_xyz
'x,y,z'
loop_
_atom_site_label
_atom_site_fract_x
_atom_site_fract_y
_atom_site_fract_z
_atom_site_occupancy
Mg1 0.0000 0.0000 0.0000 1
Mg2 0.5000 0.5000 0.0000 1
Fe1 0.2616 0.5000 0.2615 1
Fe2 0.4874 0.0000 0.4873 1
Fe3 0.7616 0.0000 0.2615 1
Fe4 0.9874 0.5000 0.4873 1
Ir1 0.2351 0.0000 0.7348 1
Ir2 0.7351 0.5000 0.7348 1
```

N(E_F) = 0.692 states/eV per atom
SG = Cm (8)
Volume = 110 Å³/cell
DFT formation energy = -0.0155 eV per atom

DFT (PBE) results for a relaxed MgFeIr2 crystal.

Cell and atoms, written as CIF:
```
data_MgFeIr2
_symmetry_space_group_name_H-M 'P 1'
_symmetry_Int_Tables_number 1
_cell_length_a 2.8045
_cell_length_b 4.5142
_cell_length_c 4.5471
_cell_angle_alpha 90.00
_cell_angle_beta 90.00
_cell_angle_gamma 90.00
loop_
_symmetry_equiv_pos_as_xyz
'x,y,z'
loop_
_atom_site_label
_atom_site_fract_x
_atom_site_fract_y
_atom_site_fract_z
_atom_site_occupancy
Mg1 0.0000 0.0000 0.0000 1
Fe1 0.5000 0.5000 0.1680 1
Ir1 0.0000 0.5000 0.6541 1
Ir2 0.5000 0.0000 0.4934 1
```

N(E_F) = 0.782 states/eV per atom
SG = Pmm2 (25)
Volume = 58 Å³/cell
DFT formation energy = -0.0848 eV per atom

Repeat the fourth record exactly.
DFT (PBE) results for a relaxed MgFeIr2 crystal.

Cell and atoms, written as CIF:
```
data_MgFeIr2
_symmetry_space_group_name_H-M 'P 1'
_symmetry_Int_Tables_number 1
_cell_length_a 2.9094
_cell_length_b 4.6337
_cell_length_c 8.6949
_cell_angle_alpha 90.00
_cell_angle_beta 90.00
_cell_angle_gamma 90.00
loop_
_symmetry_equiv_pos_as_xyz
'x,y,z'
loop_
_atom_site_label
_atom_site_fract_x
_atom_site_fract_y
_atom_site_fract_z
_atom_site_occupancy
Mg1 0.0000 0.0000 0.0000 1
Mg2 0.5000 0.5000 0.0000 1
Fe1 0.0000 0.0000 0.5000 1
Fe2 0.5000 0.5000 0.5000 1
Ir1 0.0000 0.5000 0.2581 1
Ir2 0.0000 0.5000 0.7419 1
Ir3 0.5000 0.0000 0.2581 1
Ir4 0.5000 0.0000 0.7419 1
```

N(E_F) = 0.732 states/eV per atom
SG = Cmmm (65)
Volume = 117 Å³/cell
DFT formation energy = -0.0253 eV per atom

Q: What is the volume in the sixth record?
A: 58 Å³/cell